# 1
## Nb3AsN (GGA-PBE)

Data for a relaxed structure of Nb3AsN.

**Theoretical density**: 8.240 g/cm3
**Calculated volume**: 148.2 Å³ per cell
**DFT total energy**: -9.376 eV per atom

Structure (POSCAR):
```
Nb3AsN
1.0
-3.4451 -0.2680 -4.5330
0.3303 -0.1543 5.6882
-0.9899 8.0560 0.2761
As N Nb
2 2 6
direct
0.2449 0.7551 0.2500
0.7551 0.2449 0.7500
0.5000 0.5000 0.0000
0.5000 0.5000 0.5000
0.8710 0.1290 0.0510
0.5546 0.4454 0.2500
0.8710 0.1290 0.4490
0.1290 0.8710 0.5510
0.4454 0.5546 0.7500
0.1290 0.8710 0.9490
```

=====

# 2
## TcAsNO (GGA-PBE)

Data for a relaxed structure of TcAsNO.

**Theoretical density**: 7.286 g/cm3
**Calculated volume**: 92.5 Å³ per cell
**Energy relative to the lowest polymorph listed for this composition**: 615 meV/atom

Structure (POSCAR):
```
TcAsNO
1.0
4.2083 0.0000 0.0000
0.0000 4.2083 0.0000
0.0000 0.0000 5.2228
As N O Tc
2 2 2 2
direct
0.0000 0.0000 0.5000
0.5000 0.5000 0.5000
0.5000 0.0000 0.3224
0.0000 0.5000 0.6776
0.0000 0.0000 0.0000
0.5000 0.5000 0.0000
0.0000 0.5000 0.0401
0.5000 0.0000 0.9599
```

=====

# 3
## Dy2ErTm4Co2Te2 (GGA-PBE)

Data for a relaxed structure of Dy2ErTm4Co2Te2.

**Theoretical density**: 9.157 g/cm3
**Calculated volume**: 279.5 Å³ per cell
**DFT total energy**: -5.356 eV per atom

Structure (POSCAR):
```
Dy2ErTm4Co2Te2
1.0
-4.2104 -8.1609 1.4073
2.4439 5.1523 7.3341
-5.3655 -2.7093 -7.0837
Co Dy Er Te Tm
2 2 1 2 4
direct
0.9901 0.7519 0.2381
0.5138 0.7519 0.7619
0.7632 0.4119 0.3513
0.0606 0.4119 0.6487
0.6819 0.6819 0.0000
0.0213 0.0213 0.0000
0.4160 0.9160 0.5000
0.3997 0.2648 0.1349
0.3738 0.0591 0.3147
0.7444 0.0591 0.6853
0.1299 0.2648 0.8651
```

=====

# 4
## Nb2C (GGA-PBE)

Data for a relaxed structure of Nb2C.

**Theoretical density**: 7.699 g/cm3
**Calculated volume**: 128.0 Å³ per cell
**DFT total energy**: -10.265 eV per atom

Structure (POSCAR):
```
Nb2C
1.0
-0.7545 5.1266 1.6917
-3.4964 -2.2491 -3.5257
-2.7586 -1.6576 3.7931
C Nb
3 6
direct
0.0000 0.0000 0.0000
0.6667 0.3333 0.5000
0.3333 0.6667 0.5000
0.3372 0.0000 0.2498
0.0000 0.3372 0.2498
0.6628 0.6628 0.2498
0.6628 0.0000 0.7502
0.3372 0.3372 0.7502
0.0000 0.6628 0.7502
```

=====

# 5
## Sc2BW (GGA-PBE)

Data for a relaxed structure of Sc2BW.

**Theoretical density**: 7.666 g/cm3
**Calculated volume**: 61.6 Å³ per cell
**DFT total energy**: -7.418 eV per atom

Structure (POSCAR):
```
Sc2BW
1.0
0.0000 3.1353 3.1353
3.1353 0.0000 3.1353
3.1353 3.1353 0.0000
B Sc W
1 2 1
direct
0.5000 0.5000 0.5000
0.0000 0.0000 0.0000
0.7500 0.7500 0.7500
0.2500 0.2500 0.2500
```

=====

# 6
## Ag4TeSO4 (GGA-PBE)

Data for a relaxed structure of Ag4TeSO4.

**Theoretical density**: 6.493 g/cm3
**Calculated volume**: 670.2 Å³ per cell
**DFT total energy**: -4.496 eV per atom

Structure (POSCAR):
```
Ag4TeSO4
1.0
8.7513 0.0000 0.0000
0.0000 8.7513 0.0000
0.0000 0.0000 8.7513
Ag O S Te
16 16 4 4
direct
0.4937 0.5063 0.0063
0.0944 0.2960 0.0278
0.2960 0.0278 0.0944
0.9722 0.5944 0.2040
0.0278 0.0944 0.2960
0.7040 0.5278 0.4056
0.9056 0.7960 0.4722
0.5063 0.0063 0.4937
0.0063 0.4937 0.5063
0.4056 0.7040 0.5278
0.2040 0.9722 0.5944
0.5278 0.4056 0.7040
0.4722 0.9056 0.7960
0.7960 0.4722 0.9056
0.5944 0.2040 0.9722
0.9937 0.9937 0.9937
0.7226 0.9595 0.0142
0.5142 0.7774 0.0405
0.5405 0.9858 0.2226
0.7252 0.7748 0.2252
0.2748 0.2748 0.2748
0.4595 0.4858 0.2774
0.4858 0.2774 0.4595
0.2774 0.4595 0.4858
0.7774 0.0405 0.5142
0.9858 0.2226 0.5405
0.9595 0.0142 0.7226
0.7748 0.2252 0.7252
0.2252 0.7252 0.7748
0.0405 0.5142 0.7774
0.0142 0.7226 0.9595
0.2226 0.5405 0.9858
0.6281 0.8719 0.1281
0.3719 0.3719 0.3719
0.8719 0.1281 0.6281
0.1281 0.6281 0.8719
0.8162 0.3162 0.1838
0.1838 0.8162 0.3162
0.6838 0.6838 0.6838
0.3162 0.1838 0.8162
```